Material: MgBCI2
Method: DFT, PBE
State: relaxed Values from VASP.

Summary:
DOS(E_F) (states/eV/f.u.): 1.60
Total magnetization (μB per formula unit): 0.00
Formation energy (no corrections) (meV/atom): 523
SG: No. 123
Energy (eV for the cell shown): -17.98

The structure in Quantum ESPRESSO input format:
```
&SYSTEM
  ibrav = 0, nat = 5, ntyp = 4
/
ATOMIC_SPECIES
Mg 24.30 Mg.upf
B 10.81 B.upf
C 12.01 C.upf
I 126.90 I.upf
ATOMIC_POSITIONS crystal
Mg 0.000 0.000 0.000
B 0.500 0.500 0.000
C 0.500 0.500 0.500
I 0.000 0.500 0.500
I 0.500 0.000 0.500
CELL_PARAMETERS angstrom
7.291 0.000 0.000
0.000 7.291 0.000
0.000 0.000 2.881
```

Material: Sr4Ce3MoN8
Method: DFT, PBE
State: relaxed Values from VASP.

Summary:
DOS(E_F) (states/eV/f.u.): 7.69
Total magnetization (μB per formula unit): 0.00
Formation energy (no corrections) (meV/atom): -985
SG: No. 166
Energy (eV for the cell shown): -117.73

The structure in Quantum ESPRESSO input format:
```
&SYSTEM
  ibrav = 0, nat = 16, ntyp = 4
/
ATOMIC_SPECIES
Sr 87.62 Sr.upf
Ce 140.12 Ce.upf
Mo 95.94 Mo.upf
N 14.01 N.upf
ATOMIC_POSITIONS crystal
Sr 0.000 0.000 0.000
Sr 0.000 0.500 0.500
Sr 0.500 0.000 0.500
Sr 0.500 0.500 0.000
Ce 0.000 0.000 0.500
Ce 0.000 0.500 0.000
Ce 0.500 0.000 0.000
Mo 0.500 0.500 0.500
N 0.235 0.235 0.235
N 0.260 0.720 0.720
N 0.280 0.280 0.740
N 0.280 0.740 0.280
N 0.720 0.260 0.720
N 0.720 0.720 0.260
N 0.740 0.280 0.280
N 0.765 0.765 0.765
CELL_PARAMETERS angstrom
3.530 2.038 5.935
-3.530 2.038 5.935
0.000 -4.076 5.935
```

Material: Th3SiSb2
Method: DFT, PBE
State: relaxed Values from VASP.

Summary:
DOS(E_F) (states/eV/f.u.): 3.57
Total magnetization (μB per formula unit): 0.00
Energy above the most stable polymorph in this dataset (meV per atom): 15
Formation energy (no corrections) (meV/atom): -837
SG: No. 15
Energy (eV for the cell shown): -81.90

The structure in Quantum ESPRESSO input format:
```
&SYSTEM
  ibrav = 0, nat = 12, ntyp = 3
/
ATOMIC_SPECIES
Th 232.04 Th.upf
Si 28.09 Si.upf
Sb 121.76 Sb.upf
ATOMIC_POSITIONS crystal
Th 0.000 0.500 0.000
Th 0.147 0.298 0.495
Th 0.298 0.147 0.995
Th 0.500 0.000 0.500
Th 0.702 0.853 0.005
Th 0.853 0.702 0.505
Si 0.088 0.912 0.250
Si 0.912 0.088 0.750
Sb 0.259 0.741 0.750
Sb 0.419 0.581 0.250
Sb 0.581 0.419 0.750
Sb 0.741 0.259 0.250
CELL_PARAMETERS angstrom
3.869 -6.624 0.000
3.869 6.624 0.000
-2.543 0.000 7.193
```

formation energy (no corrections) of number 3 (Th3SiSb2)?
-837 meV/atom